Record 1
# La2CeNi4Ge3 GGA-PBE optimized geometry
# Calculated formation energy (meV per atom): -633.2
data_La2CeNi4Ge3
_space_group_name_H-M_alt 'P 1'
_space_group_IT_number 1
_space_group_name_Hall 'P 1'
_cell_length_a 4.313
_cell_length_b 4.313
_cell_length_c 10.087
_cell_angle_alpha 90.00
_cell_angle_beta 90.00
_cell_angle_gamma 90.00
loop_
_atom_site_label
_atom_site_type_symbol
_atom_site_fract_x
_atom_site_fract_y
_atom_site_fract_z
La1 La 0.000 0.500 0.223
La2 La 0.500 0.000 0.777
Ce1 Ce 0.000 0.000 0.500
Ni1 Ni 0.000 0.000 0.000
Ni2 Ni 0.000 0.500 0.647
Ni3 Ni 0.500 0.000 0.353
Ni4 Ni 0.500 0.500 0.000
Ge1 Ge 0.000 0.500 0.883
Ge2 Ge 0.500 0.000 0.117
Ge3 Ge 0.500 0.500 0.500

Record 2
# Te2HIr2 GGA-PBE optimized geometry
# Excess energy over the best structure of this formula in the dataset (eV per atom): 0.0000
data_Te2HIr2
_space_group_name_H-M_alt 'P 1'
_space_group_IT_number 1
_space_group_name_Hall 'P 1'
_cell_length_a 5.350
_cell_length_b 5.350
_cell_length_c 6.274
_cell_angle_alpha 90.00
_cell_angle_beta 90.00
_cell_angle_gamma 90.00
loop_
_atom_site_label
_atom_site_type_symbol
_atom_site_fract_x
_atom_site_fract_y
_atom_site_fract_z
Te1 Te 0.000 0.500 0.250
Te2 Te 0.000 0.500 0.750
Te3 Te 0.500 0.000 0.250
Te4 Te 0.500 0.000 0.750
H1 H 0.000 0.000 0.000
H2 H 0.500 0.500 0.500
Ir1 Ir 0.000 0.000 0.288
Ir2 Ir 0.000 0.000 0.712
Ir3 Ir 0.500 0.500 0.212
Ir4 Ir 0.500 0.500 0.788

Record 3
# LiCa2Y GGA-PBE optimized geometry
# Calculated formation energy (meV per atom): 217.3
# Excess energy over the best structure of this formula in the dataset (eV per atom): 0.1223
data_LiCa2Y
_space_group_name_H-M_alt 'P 1'
_space_group_IT_number 1
_space_group_name_Hall 'P 1'
_cell_length_a 8.192
_cell_length_b 8.192
_cell_length_c 8.192
_cell_angle_alpha 90.00
_cell_angle_beta 90.00
_cell_angle_gamma 90.00
loop_
_atom_site_label
_atom_site_type_symbol
_atom_site_fract_x
_atom_site_fract_y
_atom_site_fract_z
Li1 Li 0.000 0.000 0.000
Li2 Li 0.000 0.500 0.500
Li3 Li 0.500 0.000 0.500
Li4 Li 0.500 0.500 0.000
Ca1 Ca 0.250 0.250 0.250
Ca2 Ca 0.250 0.250 0.750
Ca3 Ca 0.250 0.750 0.250
Ca4 Ca 0.250 0.750 0.750
Ca5 Ca 0.750 0.250 0.250
Ca6 Ca 0.750 0.250 0.750
Ca7 Ca 0.750 0.750 0.250
Ca8 Ca 0.750 0.750 0.750
Y1 Y 0.000 0.000 0.500
Y2 Y 0.000 0.500 0.000
Y3 Y 0.500 0.000 0.000
Y4 Y 0.500 0.500 0.500